# LiCrN2F

An optimized crystal structure of LiCrN2F (PBE with a Hubbard U, the Alexandria database).

Cell: 3.640 3.640 4.114 Å, 90.00 90.00 90.00°
Positions (direct):
1 Li 0.000 0.000 0.000
2 Cr 0.500 0.500 0.500
3 N 0.000 0.500 0.500
4 N 0.500 0.000 0.500
5 F 0.500 0.500 0.000

V, Å³/atom: 10.902
Offset from the most stable computed form, meV/atom: 0
Space-group type: P4/mmm (123)